(1)
DFT (PBE) results for a relaxed CsLiAsSe3 crystal.

Results
Its total magnetization is 0.00 μB/atom. For the formation energy from raw total energies, the calculation gives -0.654 eV/atom. As for the crystal system: orthorhombic. As for the total energy: -43.59 eV for the cell shown. Its symmetry is Cmcm, No. 63.

Geometry as CIF:
```
data_CsLiAsSe3
_symmetry_space_group_name_H-M 'P 1'
_symmetry_Int_Tables_number 1
_symmetry_space_group_name_Hall 'P 1'
_cell_length_a 7.0626
_cell_length_b 7.2908
_cell_length_c 7.6745
_cell_angle_alpha 118.36
_cell_angle_beta 90.00
_cell_angle_gamma 90.00
loop_
_atom_site_label
_atom_site_type_symbol
_atom_site_fract_x
_atom_site_fract_y
_atom_site_fract_z
Cs1 Cs 0.7500 0.2583 0.5166
Cs2 Cs 0.2500 0.7417 0.4834
Li1 Li 0.2500 0.4212 0.8425
Li2 Li 0.7500 0.5788 0.1575
As1 As 0.2500 0.0508 0.1015
As2 As 0.7500 0.9492 0.8985
Se1 Se 0.2500 0.2239 0.4478
Se2 Se 0.0000 0.2592 0.0000
Se3 Se 0.5000 0.7408 0.0000
Se4 Se 0.5000 0.2592 0.0000
Se5 Se 0.0000 0.7408 0.0000
Se6 Se 0.7500 0.7761 0.5522
```

(2)
DFT (PBE) results for a relaxed CsLiAs2Se crystal.

Results
As for the energy above the most stable polymorph in this dataset: 1.050 eV per atom. Its total magnetization is 0.61 μB/atom. For the formation energy from raw total energies, the calculation gives 1.134 eV/atom. As for the crystal system: tetragonal. As for the total energy: -9.88 eV for the cell shown. Its symmetry is P4/mmm, No. 123.

Geometry as CIF:
```
data_CsLiAs2Se
_symmetry_space_group_name_H-M 'P 1'
_symmetry_Int_Tables_number 1
_symmetry_space_group_name_Hall 'P 1'
_cell_length_a 6.0281
_cell_length_b 6.0281
_cell_length_c 6.1719
_cell_angle_alpha 90.00
_cell_angle_beta 90.00
_cell_angle_gamma 90.00
loop_
_atom_site_label
_atom_site_type_symbol
_atom_site_fract_x
_atom_site_fract_y
_atom_site_fract_z
Cs1 Cs 0.0000 0.0000 0.0000
As1 As 0.0000 0.5000 0.0000
As2 As 0.5000 0.0000 0.0000
Se1 Se 0.0000 0.0000 0.5000
Li1 Li 0.5000 0.5000 0.5000
```

(3)
DFT (PBE) results for a relaxed CsLi2SnAs crystal.

Results
Its total magnetization is 0.19 μB/atom. As for the crystal system: tetragonal. As for the total energy: -12.69 eV for the cell shown. Its symmetry is P4/mmm, No. 123.

Geometry as CIF:
```
data_CsLi2SnAs
_symmetry_space_group_name_H-M 'P 1'
_symmetry_Int_Tables_number 1
_symmetry_space_group_name_Hall 'P 1'
_cell_length_a 5.0510
_cell_length_b 6.5992
_cell_length_c 5.0510
_cell_angle_alpha 90.00
_cell_angle_beta 90.00
_cell_angle_gamma 90.00
loop_
_atom_site_label
_atom_site_type_symbol
_atom_site_fract_x
_atom_site_fract_y
_atom_site_fract_z
Cs1 Cs 0.0000 0.5000 0.0000
As1 As 0.0000 0.0000 0.0000
Sn1 Sn 0.5000 0.5000 0.5000
Li1 Li 0.0000 0.0000 0.5000
Li2 Li 0.5000 0.0000 0.0000
```

(4)
DFT (PBE) results for a relaxed CsLiTe3As crystal.

Results
Its total magnetization is 0.00 μB/atom. For the formation energy from raw total energies, the calculation gives -0.483 eV/atom. As for the crystal system: orthorhombic. As for the total energy: -39.48 eV for the cell shown. Its symmetry is Cmcm, No. 63.

Geometry as CIF:
```
data_CsLiTe3As
_symmetry_space_group_name_H-M 'P 1'
_symmetry_Int_Tables_number 1
_symmetry_space_group_name_Hall 'P 1'
_cell_length_a 7.5266
_cell_length_b 7.7208
_cell_length_c 8.3870
_cell_angle_alpha 117.41
_cell_angle_beta 90.00
_cell_angle_gamma 90.00
loop_
_atom_site_label
_atom_site_type_symbol
_atom_site_fract_x
_atom_site_fract_y
_atom_site_fract_z
Cs1 Cs 0.7500 0.2649 0.5297
Cs2 Cs 0.2500 0.7351 0.4703
Li1 Li 0.2500 0.4124 0.8249
Li2 Li 0.7500 0.5876 0.1751
Te1 Te 0.2500 0.2232 0.4463
Te2 Te 0.0000 0.2700 0.0000
Te3 Te 0.5000 0.7300 0.0000
Te4 Te 0.5000 0.2700 0.0000
Te5 Te 0.0000 0.7300 0.0000
Te6 Te 0.7500 0.7768 0.5537
As1 As 0.2500 0.0503 0.1006
As2 As 0.7500 0.9497 0.8994
```

(5)
DFT (PBE) results for a relaxed CsLiTe2As crystal.

Results
Its total magnetization is 0.03 μB/atom. For the formation energy from raw total energies, the calculation gives -0.414 eV/atom. As for the crystal system: orthorhombic. As for the total energy: -31.54 eV for the cell shown. Its symmetry is Cmme, No. 67.

Geometry as CIF:
```
data_CsLiTe2As
_symmetry_space_group_name_H-M 'P 1'
_symmetry_Int_Tables_number 1
_symmetry_space_group_name_Hall 'P 1'
_cell_length_a 7.0966
_cell_length_b 5.6657
_cell_length_c 9.1311
_cell_angle_alpha 108.07
_cell_angle_beta 90.00
_cell_angle_gamma 90.00
loop_
_atom_site_label
_atom_site_type_symbol
_atom_site_fract_x
_atom_site_fract_y
_atom_site_fract_z
Cs1 Cs 0.2316 0.7500 0.5000
Cs2 Cs 0.7684 0.2500 0.5000
Li1 Li 0.5000 0.7500 0.0000
Li2 Li 0.5000 0.2500 0.0000
Te1 Te 0.7085 0.8920 0.7839
Te2 Te 0.7085 0.6080 0.2161
Te3 Te 0.2915 0.3920 0.7839
Te4 Te 0.2915 0.1080 0.2161
As1 As 0.0000 0.0000 0.0000
As2 As 0.0000 0.5000 0.0000
```

(6)
DFT (PBE) results for a relaxed CsLi2TiAs crystal.

Results
Its total magnetization is 0.00 μB/atom. As for the crystal system: tetragonal. As for the total energy: -10.62 eV for the cell shown. Its symmetry is P4/mmm, No. 123.

Geometry as CIF:
```
data_CsLi2TiAs
_symmetry_space_group_name_H-M 'P 1'
_symmetry_Int_Tables_number 1
_symmetry_space_group_name_Hall 'P 1'
_cell_length_a 4.8425
_cell_length_b 5.2132
_cell_length_c 4.8425
_cell_angle_alpha 90.00
_cell_angle_beta 90.00
_cell_angle_gamma 90.00
loop_
_atom_site_label
_atom_site_type_symbol
_atom_site_fract_x
_atom_site_fract_y
_atom_site_fract_z
Cs1 Cs 0.0000 0.0000 0.0000
As1 As 0.5000 0.5000 0.5000
Li1 Li 0.0000 0.0000 0.5000
Li2 Li 0.5000 0.0000 0.0000
Ti1 Ti 0.0000 0.5000 0.0000
```

(7)
DFT (PBE) results for a relaxed Cs2LiZnAs2 crystal.

Results
Its total magnetization is 0.00 μB/atom. As for the crystal system: orthorhombic. As for the total energy: -33.56 eV for the cell shown. Its symmetry is Ibam, No. 72.

Geometry as CIF:
```
data_Cs2LiZnAs2
_symmetry_space_group_name_H-M 'P 1'
_symmetry_Int_Tables_number 1
_symmetry_space_group_name_Hall 'P 1'
_cell_length_a 6.5482
_cell_length_b 6.5651
_cell_length_c 9.8240
_cell_angle_alpha 109.52
_cell_angle_beta 109.47
_cell_angle_gamma 90.00
loop_
_atom_site_label
_atom_site_type_symbol
_atom_site_fract_x
_atom_site_fract_y
_atom_site_fract_z
Cs1 Cs 0.4046 0.1643 0.3285
Cs2 Cs 0.5954 0.8357 0.6715
Cs3 Cs 0.0760 0.3357 0.6715
Cs4 Cs 0.9240 0.6643 0.3285
Li1 Li 0.0000 0.7500 0.0000
Li2 Li 0.0000 0.2500 0.0000
Zn1 Zn 0.5000 0.7500 0.0000
Zn2 Zn 0.5000 0.2500 0.0000
As1 As 0.8060 0.0752 0.1505
As2 As 0.3445 0.5752 0.1505
As3 As 0.6555 0.4248 0.8495
As4 As 0.1940 0.9248 0.8495
```

(8)
DFT (PBE) results for a relaxed CsMgAs crystal.

Results
Its total magnetization is 0.00 μB/atom. As for the crystal system: orthorhombic. As for the total energy: -34.42 eV for the cell shown. Its symmetry is Pnma, No. 62.

Geometry as CIF:
```
data_CsMgAs
_symmetry_space_group_name_H-M 'P 1'
_symmetry_Int_Tables_number 1
_symmetry_space_group_name_Hall 'P 1'
_cell_length_a 12.6462
_cell_length_b 4.7302
_cell_length_c 8.4713
_cell_angle_alpha 90.00
_cell_angle_beta 90.00
_cell_angle_gamma 90.00
loop_
_atom_site_label
_atom_site_type_symbol
_atom_site_fract_x
_atom_site_fract_y
_atom_site_fract_z
Cs1 Cs 0.8334 0.2500 0.4876
Cs2 Cs 0.6666 0.7500 0.9876
Cs3 Cs 0.1666 0.7500 0.5124
Cs4 Cs 0.3334 0.2500 0.0124
As1 As 0.5620 0.2500 0.2981
As2 As 0.9380 0.7500 0.7981
As3 As 0.4380 0.7500 0.7019
As4 As 0.0620 0.2500 0.2019
Mg1 Mg 0.9786 0.2500 0.9077
Mg2 Mg 0.5214 0.7500 0.4077
Mg3 Mg 0.0214 0.7500 0.0923
Mg4 Mg 0.4786 0.2500 0.5923
```

no.,DOS(E_F) (states/eV per atom)
1,0.313
2,0.934
3,0.970
4,0.222
5,0.678
6,0.925
7,0.658
8,0.000